6
Lattice="-3.523 -0.453 3.094 -3.334 3.317 0.276 -4.365 -0.915 -1.517" Properties=species:S:1:pos:R:3 comment="PBE-GGA BeFeCu4, optimized geometry" formation_energy_ev_per_atom=0.341 e_tot_ev_per_cell=-26.5 volume_a3_per_cell=74 density_g_cm3=7.17 pbc="T T T"
Cu -5.970 0.503 2.243
Cu -5.875 2.390 0.833
Cu -4.207 0.730 0.695
Cu -6.391 0.272 -0.064
Be 0.000 0.000 0.000
Fe -8.416 1.461 1.390